No. 1
## InHg6As4Cl7 (PBEsol)

Data for a geometry-optimized InHg6As4Cl7 structure.

E_form (uncorrected) = -0.497 eV/atom
Crystal system = cubic

Cell lengths 12.1154, 12.1154, 12.1154 Å; angles 90.00, 90.00, 90.00 degrees
Space group Pa-3 (No. 205)
One atom of each set of equivalent atoms:
In1 0.0000 0.0000 0.0000 [4 per cell]
Hg1 0.0502 0.1808 0.6997 [24 per cell]
As1 0.1472 0.6472 0.8528 [8 per cell]
As2 0.2365 0.2365 0.2365 [8 per cell]
Cl1 0.0000 0.0000 0.5000 [4 per cell]
Cl2 0.0415 0.5494 0.3013 [24 per cell]



No. 2
## Sn3GeI (PBEsol)

Data for a geometry-optimized Sn3GeI structure.

Offset from the most stable computed form = 0.0 meV/atom
E_form (uncorrected) = 0.415 eV/atom
Crystal system = cubic

Cell lengths 5.4026, 5.4026, 5.4026 Å; angles 90.00, 90.00, 90.00 degrees
Space group Pm-3m (No. 221)
One atom of each set of equivalent atoms:
Sn1 0.0000 0.0000 0.5000 [3 per cell]
Ge1 0.0000 0.0000 0.0000 [1 per cell]
I1 0.5000 0.5000 0.5000 [1 per cell]



No. 3
## CrOF (PBEsol)

Data for a geometry-optimized CrOF structure.

E_form (uncorrected) = -2.153 eV/atom
Crystal system = monoclinic

Cell lengths 5.0181, 4.4840, 5.4709 Å; angles 90.00, 91.49, 90.00 degrees
Space group P2_1/c (No. 14)
One atom of each set of equivalent atoms:
Cr1 0.2261 0.0207 0.3504 [4 per cell]
O1 0.0723 0.2288 0.6112 [4 per cell]
F1 0.4196 0.7426 0.1129 [4 per cell]



No. 4
## Lu2MgHg (PBEsol)

Data for a geometry-optimized Lu2MgHg structure.

ΔE_f = -0.289 eV per atom
Crystal system = cubic

Cell lengths 7.2272, 7.2272, 7.2272 Å; angles 90.00, 90.00, 90.00 degrees
Space group Fm-3m (No. 225)
One atom of each set of equivalent atoms:
Lu1 0.2500 0.2500 0.2500 [8 per cell]
Mg1 0.0000 0.0000 0.0000 [4 per cell]
Hg1 0.0000 0.0000 0.5000 [4 per cell]



No. 5
## NaTlAs2Br (PBEsol)

Data for a geometry-optimized NaTlAs2Br structure.

E_form (uncorrected) = 0.526 eV/atom
Crystal system = tetragonal

Cell lengths 5.1304, 5.1304, 5.4614 Å; angles 90.00, 90.00, 90.00 degrees
Space group P4/mmm (No. 123)
One atom of each set of equivalent atoms:
Na1 0.0000 0.0000 0.0000 [1 per cell]
Tl1 0.5000 0.5000 0.5000 [1 per cell]
As1 0.0000 0.5000 0.0000 [2 per cell]
Br1 0.0000 0.0000 0.5000 [1 per cell]



No. 6
## HfGaCu2O (PBEsol)

Data for a geometry-optimized HfGaCu2O structure.

E_form (uncorrected) = 0.773 eV/atom
Crystal system = tetragonal

Cell lengths 4.1781, 4.1781, 5.1022 Å; angles 90.00, 90.00, 90.00 degrees
Space group P4/mmm (No. 123)
One atom of each set of equivalent atoms:
Hf1 0.0000 0.0000 0.0000 [1 per cell]
Ga1 0.0000 0.0000 0.5000 [1 per cell]
Cu1 0.0000 0.5000 0.5000 [2 per cell]
O1 0.5000 0.5000 0.0000 [1 per cell]



No. 7
## Rb2LiTbCl6 (PBEsol)

Data for a geometry-optimized Rb2LiTbCl6 structure.

E_form (uncorrected) = -2.096 eV/atom
Crystal system = cubic

Cell lengths 10.2597, 10.2597, 10.2597 Å; angles 90.00, 90.00, 90.00 degrees
Space group Fm-3m (No. 225)
One atom of each set of equivalent atoms:
Rb1 0.2500 0.2500 0.2500 [8 per cell]
Li1 0.0000 0.0000 0.0000 [4 per cell]
Tb1 0.0000 0.0000 0.5000 [4 per cell]
Cl1 0.0000 0.0000 0.2458 [24 per cell]



No. 8
## Bi2BBr (PBEsol)

Data for a geometry-optimized Bi2BBr structure.

E_form (uncorrected) = 0.845 eV/atom
Crystal system = cubic

Cell lengths 7.1043, 7.1043, 7.1043 Å; angles 90.00, 90.00, 90.00 degrees
Space group Fm-3m (No. 225)
One atom of each set of equivalent atoms:
Bi1 0.2500 0.2500 0.2500 [8 per cell]
B1 0.0000 0.0000 0.0000 [4 per cell]
Br1 0.0000 0.0000 0.5000 [4 per cell]



No. 9
## Te2AuCl (PBEsol)

Data for a geometry-optimized Te2AuCl structure.

E_form (uncorrected) = 0.233 eV/atom
Crystal system = cubic

Cell lengths 7.1234, 7.1234, 7.1234 Å; angles 90.00, 90.00, 90.00 degrees
Space group F-43m (No. 216)
One atom of each set of equivalent atoms:
Te1 0.0000 0.0000 0.0000 [4 per cell]
Te2 0.2500 0.2500 0.2500 [4 per cell]
Au1 0.2500 0.2500 0.7500 [4 per cell]
Cl1 0.0000 0.0000 0.5000 [4 per cell]



No. 10
## ZrAl (PBEsol)

Data for a geometry-optimized ZrAl structure.

ΔE_f = 0.060 eV per atom
Crystal system = cubic

Cell lengths 5.5115, 5.5115, 5.5115 Å; angles 90.00, 90.00, 90.00 degrees
Space group Fm-3m (No. 225)
One atom of each set of equivalent atoms:
Zr1 0.0000 0.0000 0.0000 [4 per cell]
Al1 0.0000 0.0000 0.5000 [4 per cell]



No. 11
## NaMn2In2 (PBEsol)

Data for a geometry-optimized NaMn2In2 structure.

ΔE_f = 0.284 eV per atom
Crystal system = tetragonal

Cell lengths 3.1561, 3.1561, 19.0014 Å; angles 90.00, 90.00, 90.00 degrees
Space group I4/mmm (No. 139)
One atom of each set of equivalent atoms:
Na1 0.0000 0.0000 0.0000 [2 per cell]
Mn1 0.0000 0.5000 0.2500 [4 per cell]
In1 0.0000 0.0000 0.3698 [4 per cell]



No. 12
## NiAsRu2 (PBEsol)

Data for a geometry-optimized NiAsRu2 structure.

ΔE_f = 0.132 eV per atom
Crystal system = trigonal

Cell lengths 2.7491, 2.7491, 24.0887 Å; angles 90.00, 90.00, 120.00 degrees
Space group R3m (No. 160, hexagonal axes)
One atom of each set of equivalent atoms:
Ni1 0.0000 0.0000 0.0000 [3 per cell]
As1 0.0000 0.0000 0.2576 [3 per cell]
Ru1 0.0000 0.0000 0.5058 [3 per cell]
Ru2 0.0000 0.0000 0.7537 [3 per cell]